A plane-wave DFT calculation with PBE-GGA was carried out for a geometry-optimized TlHgOs2 structure.

Cell: 5.0537 5.0537 2.9723 Å, 90.00 90.00 109.32°
Fractional positions:
Tl: 0.0000 0.0000 0.0000
Hg: 0.5000 0.5000 0.0000
Os: 0.0000 0.5000 0.5000
Os: 0.5000 0.0000 0.5000

Output
energy relative to the lowest polymorph listed for this composition	3.02	eV per formula unit
crystal system	orthorhombic
total moment	1.7	Bohr magnetons per cell